CsCa4: relaxed, PBE.

a b c (Å): 6.2566 6.2566 6.2566
angles (deg): 90.00 90.00 90.00
Element x y z (fractional)
Cs 0.0000 0.0000 0.0000
Ca 0.0000 0.0000 0.5000
Ca 0.0000 0.5000 0.0000
Ca 0.5000 0.0000 0.0000
Ca 0.5000 0.5000 0.5000

The calculation puts the formation energy at 4.212 eV/f.u. The density of states at the Fermi level comes out at 3.70 states/eV per cell. Its space group is No. 221. The calculation puts the raw total energy at -0.9296 eV/atom.